DFT (GGA+U) results for crystalline CsSrMn2F8 at its relaxed geometry.

Cell and atoms, written as POSCAR:
```
CsSrMn2F8
1.0
-0.730 3.728 4.568
-4.484 -3.493 -1.729
2.745 -6.278 5.561
Cs Sr Mn F
1 1 2 8
Direct
0.000 0.000 0.000
0.000 0.000 0.500
0.667 0.333 0.229
0.333 0.667 0.771
0.333 0.667 0.988
0.334 0.249 0.316
0.751 0.085 0.316
0.667 0.333 0.012
0.249 0.915 0.684
0.666 0.751 0.684
0.085 0.334 0.684
0.915 0.666 0.316
```

The calculation puts the density of states at the Fermi level at 14.43 states/eV per cell. The value obtained for the electronic total energy is -5.472 eV per atom. Its space group is P-3.